# 1
{"formula": "HgPt2", "functional": "PBE", "state": "relaxed", "ef_ev_per_atom": 0.02, "dos_at_fermi_per_ev_fu": 0.98, "sg": "I4/mcm", "cell": [[-2.5969, 2.5969, 4.3655], [2.5969, -2.5969, 4.3655], [2.5969, 2.5969, -4.3655]], "species": ["Pt", "Hg", "Hg", "Pt", "Pt", "Pt"], "fractional_positions": [[0.3149, 0.8149, 0.1298], [0.2500, 0.2500, 0.0000], [0.7500, 0.7500, 0.0000], [0.8149, 0.6851, 0.5000], [0.1851, 0.3149, 0.5000], [0.6851, 0.1851, 0.8702]]}


# 2
{"formula": "HgPt", "functional": "PBE", "state": "relaxed", "ef_ev_per_atom": 0.06, "dos_at_fermi_per_ev_fu": 0.83, "sg": "C2/m", "cell": [[5.4391, 0.1517, -0.0775], [3.2837, 5.4991, -0.0911], [-4.0906, -4.1784, 2.6154]], "species": ["Hg", "Pt", "Hg", "Pt"], "fractional_positions": [[0.1408, 0.7699, 0.3709], [0.5781, 0.2302, 0.3479], [0.9425, 0.9801, 0.9625], [0.5053, 0.5198, 0.9854]]}


# 3
{"formula": "HgPt5", "functional": "PBE", "state": "relaxed", "ef_ev_per_atom": 0.21, "dos_at_fermi_per_ev_fu": 1.19, "sg": "F-43m", "cell": [[0.0000, 3.7423, 3.7423], [3.7423, 0.0000, 3.7423], [3.7423, 3.7423, 0.0000]], "species": ["Pt", "Pt", "Pt", "Pt", "Hg", "Pt"], "fractional_positions": [[0.3753, 0.8740, 0.3753], [0.3753, 0.3753, 0.3753], [0.7500, 0.7500, 0.7500], [0.8740, 0.3753, 0.3753], [0.0000, 0.0000, 0.0000], [0.3753, 0.3753, 0.8740]]}